Entry from Alexandria via LeMat-Bulk: Ac6CoPb2O after structural relaxation (GGA+U).

Summary:
* volume: 33.11 A^3/atom
* SG: R-3m, No. 166
* E_tot: -96.25 eV per cell

a = 7.691 Å, b = 7.691 Å, c = 13.669 Å
α = 73.66°, β = 73.66°, γ = 60.00°
Fractional coordinates of all 20 atoms:
Ac: 0.789 0.296 0.127
Ac: 0.211 0.704 0.873
Ac: 0.789 0.789 0.127
Ac: 0.627 0.627 0.624
Ac: 0.877 0.373 0.376
Ac: 0.296 0.789 0.127
Ac: 0.373 0.877 0.376
Ac: 0.627 0.123 0.624
Ac: 0.704 0.211 0.873
Ac: 0.211 0.211 0.873
Ac: 0.373 0.373 0.376
Ac: 0.123 0.627 0.624
Co: 0.500 0.500 0.500
Co: 0.000 0.000 0.000
Pb: 0.126 0.126 0.621
Pb: 0.292 0.292 0.123
Pb: 0.708 0.708 0.877
Pb: 0.874 0.874 0.379
O: 0.413 0.413 0.760
O: 0.587 0.587 0.240